(1)
The following is a DFT calculation (PBE) of PmHfTh2P4 after structural relaxation.

Results
The energy of formation comes out at -1440 meV per atom. For the density of states at the Fermi level, the calculation gives 2.73 states/eV/f.u.

Unit cell a=6.942 b=4.027 c=6.988 alpha=90.00 beta=109.36 gamma=90.00
Fractional positions:
Pm  0.000  0.000  0.000
Hf  0.000  0.500  0.500
Th  0.500  0.000  0.500
Th  0.500  0.500  0.000
P  0.230  0.000  0.732
P  0.239  0.500  0.259
P  0.761  0.500  0.741
P  0.770  0.000  0.268



(2)
The following is a DFT calculation (PBE) of YRuW2 after structural relaxation.

Results
The energy of formation comes out at 332 meV per atom. For the density of states at the Fermi level, the calculation gives 3.32 states/eV/f.u. As for the energy relative to the lowest polymorph listed for this composition: 160 meV/atom.

Unit cell a=2.950 b=4.278 c=5.912 alpha=90.00 beta=101.32 gamma=90.00
Fractional positions:
Y  0.000  0.000  0.000
Ru  0.738  0.500  0.279
W  0.289  0.500  0.697
W  0.507  0.000  0.492



(3)
The following is a DFT calculation (PBE) of ZrTiNi2 after structural relaxation.

Results
The energy of formation comes out at -386 meV per atom. For the density of states at the Fermi level, the calculation gives 3.23 states/eV/f.u. As for the energy relative to the lowest polymorph listed for this composition: 36 meV/atom.

Unit cell a=4.040 b=5.106 c=5.106 alpha=35.97 beta=90.00 gamma=90.00
Fractional positions:
Zr  0.000  0.000  0.000
Ti  0.500  0.719  0.719
Ni  0.000  0.270  0.270
Ni  0.500  0.434  0.434



(4)
The following is a DFT calculation (PBE) of CuTe3H after structural relaxation.

Results
For the density of states at the Fermi level, the calculation gives 2.27 states/eV/f.u. As for the energy relative to the lowest polymorph listed for this composition: 0 meV/atom.

Unit cell a=7.936 b=8.565 c=8.474 alpha=90.00 beta=106.23 gamma=90.00
Fractional positions:
Cu  0.163  0.027  0.052
Cu  0.163  0.473  0.552
Cu  0.837  0.527  0.448
Cu  0.837  0.973  0.948
Te  0.052  0.691  0.335
Te  0.052  0.809  0.835
Te  0.387  0.225  0.972
Te  0.387  0.275  0.472
Te  0.480  0.519  0.744
Te  0.480  0.981  0.244
Te  0.520  0.019  0.756
Te  0.520  0.481  0.256
Te  0.613  0.725  0.528
Te  0.613  0.775  0.028
Te  0.948  0.191  0.165
Te  0.948  0.309  0.665
H  0.037  0.577  0.169
H  0.037  0.923  0.669
H  0.963  0.077  0.331
H  0.963  0.423  0.831



(5)
The following is a DFT calculation (PBE) of ReSbAu2 after structural relaxation.

Results
For the density of states at the Fermi level, the calculation gives 0.91 states/eV/f.u. The calculation puts the formation energy (no corrections) at 0.433 eV/atom.

Unit cell a=9.149 b=9.149 c=9.149 alpha=19.61 beta=19.61 gamma=19.61
Fractional positions:
Re  0.000  0.000  0.000
Sb  0.743  0.743  0.743
Au  0.254  0.254  0.254
Au  0.504  0.504  0.504



(6)
The following is a DFT calculation (PBE) of Au after structural relaxation.

Results
The energy of formation comes out at 11 meV per atom. For the density of states at the Fermi level, the calculation gives 0.31 states/eV/f.u. As for the energy relative to the lowest polymorph listed for this composition: 11 meV/atom.

Unit cell a=2.956 b=2.956 c=9.585 alpha=90.00 beta=90.00 gamma=120.00
Fractional positions:
Au  0.000  0.000  0.000
Au  0.000  0.000  0.500
Au  0.333  0.667  0.250
Au  0.667  0.333  0.750



(7)
The following is a DFT calculation (PBE) of LaMgAu4 after structural relaxation.

Results
The energy of formation comes out at -451 meV per atom. For the density of states at the Fermi level, the calculation gives 1.64 states/eV/f.u.

Unit cell a=4.540 b=4.540 c=7.230 alpha=90.00 beta=90.00 gamma=90.00
Fractional positions:
La  0.000  0.000  0.000
Mg  0.500  0.500  0.500
Au  0.000  0.500  0.289
Au  0.000  0.500  0.711
Au  0.500  0.000  0.289
Au  0.500  0.000  0.711



(8)
The following is a DFT calculation (PBE) of LaNd2Er4Tm after structural relaxation.

Results
The energy of formation comes out at 23 meV per atom. For the density of states at the Fermi level, the calculation gives 10.54 states/eV/f.u.

Unit cell a=7.197 b=9.996 c=7.197 alpha=90.00 beta=90.08 gamma=90.00
Fractional positions:
La  0.000  0.000  0.000
La  0.000  0.500  0.500
Nd  0.000  0.000  0.500
Nd  0.500  0.000  0.000
Nd  0.500  0.000  0.500
Nd  0.500  0.500  0.500
Er  0.251  0.254  0.247
Er  0.251  0.254  0.753
Er  0.251  0.746  0.247
Er  0.251  0.746  0.753
Er  0.749  0.254  0.247
Er  0.749  0.254  0.753
Er  0.749  0.746  0.247
Er  0.749  0.746  0.753
Tm  0.000  0.500  0.000
Tm  0.500  0.500  0.000



(9)
The following is a DFT calculation (PBE) of As2IrPb after structural relaxation.

Results
The energy of formation comes out at 132 meV per atom. For the density of states at the Fermi level, the calculation gives 2.34 states/eV/f.u. As for the energy relative to the lowest polymorph listed for this composition: 187 meV/atom.

Unit cell a=7.146 b=7.146 c=7.146 alpha=151.63 beta=149.29 gamma=42.29
Fractional positions:
As  0.000  0.000  0.000
As  0.672  0.172  0.500
Ir  0.131  0.631  0.500
Pb  0.348  0.348  0.000



(10)
The following is a DFT calculation (PBE) of TiReTc2As after structural relaxation.

Results
The energy of formation comes out at 1305 meV per atom. For the density of states at the Fermi level, the calculation gives 5.08 states/eV/f.u.

Unit cell a=4.711 b=4.711 c=4.639 alpha=90.00 beta=90.00 gamma=90.00
Fractional positions:
Ti  0.000  0.000  0.000
Re  0.500  0.500  0.500
Tc  0.000  0.500  0.500
Tc  0.500  0.000  0.500
As  0.500  0.500  0.000



(11)
The following is a DFT calculation (PBE) of Ho2NiBr2 after structural relaxation.

Results
For the density of states at the Fermi level, the calculation gives 1.57 states/eV/f.u. The calculation puts the formation energy (no corrections) at -1.144 eV/atom.

Unit cell a=11.093 b=11.093 c=11.093 alpha=20.08 beta=20.08 gamma=20.08
Fractional positions:
Ho  0.118  0.118  0.118
Ho  0.882  0.882  0.882
Ni  0.500  0.500  0.500
Br  0.274  0.274  0.274
Br  0.726  0.726  0.726



(12)
The following is a DFT calculation (PBE) of CaPm2Nd3 after structural relaxation.

Results
The energy of formation comes out at 53 meV per atom. For the density of states at the Fermi level, the calculation gives 9.74 states/eV/f.u.

Unit cell a=7.009 b=7.019 c=9.892 alpha=95.88 beta=95.53 gamma=115.70
Fractional positions:
Ca  0.179  0.430  0.222
Ca  0.821  0.570  0.778
Pm  0.156  0.904  0.111
Pm  0.485  0.230  0.444
Pm  0.515  0.770  0.556
Pm  0.844  0.096  0.889
Nd  0.012  0.257  0.557
Nd  0.320  0.070  0.776
Nd  0.349  0.598  0.887
Nd  0.651  0.402  0.113
Nd  0.680  0.930  0.224
Nd  0.988  0.743  0.443



Q: Number 11 is which compound?
A: Ho2NiBr2